## CsKRhPb2 (PBE)

Data for a geometry-optimized CsKRhPb2 structure.

a b c (Å): 5.3753 5.3753 6.2174
angles (deg): 90.00 90.00 90.00
Closest atoms and distances in Å follow each position.
Space group P4/mmm (No. 123)
Asymmetric unit:
Cs: 0.0000 0.0000 0.0000  4 K 3.80, 8 Pb 4.11
K: 0.5000 0.5000 0.0000  2 Rh 3.11
Rh: 0.5000 0.5000 0.5000  4 Pb 2.69
Pb: 0.0000 0.5000 0.5000  2 Rh 2.69

The calculation puts the magnetic moment at 0.00 μB per formula unit. The calculated volume is 35.93 A^3/atom.

=====

## USnPdAu (PBE)

Data for a geometry-optimized USnPdAu structure.

a b c (Å): 6.9555 6.9555 6.9555
angles (deg): 90.00 90.00 90.00
Closest atoms and distances in Å follow each position.
Space group F-43m (No. 216)
Asymmetric unit:
U: 0.0000 0.0000 0.0000  4 Pd 3.01, 4 Au 3.01
Sn: 0.0000 0.0000 0.5000  4 Pd 3.01, 4 Au 3.01
Pd: 0.2500 0.2500 0.7500  4 Sn 3.01, 4 U 3.01
Au: 0.2500 0.2500 0.2500  4 Sn 3.01, 4 U 3.01

The calculation puts the magnetic moment at 2.38 μB per formula unit. The calculated volume is 21.03 A^3/atom.

=====

## CuAgOs2 (PBE)

Data for a geometry-optimized CuAgOs2 structure.

a b c (Å): 2.7538 2.7538 26.9843
angles (deg): 90.00 90.00 120.00
Closest atoms and distances in Å follow each position.
Space group R3m (No. 160, hexagonal axes)
Asymmetric unit:
Cu: 0.0000 0.0000 0.0000  3 Os 2.69, 3 Ag 2.75, 6 Cu 2.75
Ag: 0.0000 0.0000 0.7496  3 Cu 2.75, 6 Ag 2.75, 3 Os 2.96
Os: 0.0000 0.0000 0.2529  9 Os 2.62-2.75, 3 Cu 2.69
Os: 0.0000 0.0000 0.5088  9 Os 2.62-2.75

The calculation puts the magnetic moment at 0.00 μB per formula unit. The calculated volume is 14.77 A^3/atom. The energy relative to the lowest polymorph listed for this composition comes out at 0.0000 eV/atom.

=====

## Ac2CuAs4Pt3 (PBE)

Data for a geometry-optimized Ac2CuAs4Pt3 structure.

a b c (Å): 4.5551 4.5551 9.9941
angles (deg): 90.00 90.00 90.00
Closest atoms and distances in Å follow each position.
Space group P-4m2 (No. 115)
Asymmetric unit:
Ac: 0.0000 0.5000 0.2475  2 Cu 3.36, 7 Pt 3.36-3.68, 9 As 3.40-3.74
Cu: 0.5000 0.5000 0.0000  4 As 2.61
As: 0.0000 0.0000 0.5000  4 Pt 2.56
As: 0.0000 0.5000 0.8734  3 Pt 2.57-2.61, 2 Cu 2.61
As: 0.5000 0.5000 0.5000  4 Pt 2.56
Pt: 0.0000 0.0000 0.0000  4 As 2.61
Pt: 0.0000 0.5000 0.6161  5 As 2.56-2.57

The calculation puts the magnetic moment at 0.00 μB per formula unit. The calculated volume is 20.74 A^3/atom.

=====

| no. | total energy (eV/atom) |
| --- | --- |
| 1 | -3.344 |
| 2 | -6.245 |
| 3 | -7.043 |
| 4 | -5.790 |